La2TiVNi: relaxed, PBE-GGA.

The structure in POSCAR format:
```
La2TiVNi
1.0
5.395 0.000 0.000
0.000 5.395 0.000
0.000 0.000 4.424
La Ti V Ni
2 1 1 1
direct
0.000 0.500 0.000
0.500 0.000 0.000
0.000 0.000 0.500
0.000 0.000 0.000
0.500 0.500 0.500
```

Values from the calculation:
Total DFT energy (no corrections), eV per atom: -5.8392
DFT formation energy, eV/atom: 0.6908

---

Ba8InPdPt2: relaxed, PBE-GGA.

The structure in POSCAR format:
```
Ba8InPdPt2
1.0
7.614 0.000 0.000
0.000 9.809 0.000
-0.180 0.000 7.764
Ba In Pd Pt
8 1 1 2
direct
0.207 0.000 0.340
0.218 0.500 0.323
0.271 0.271 0.815
0.271 0.729 0.815
0.729 0.271 0.185
0.729 0.729 0.185
0.782 0.500 0.677
0.793 0.000 0.660
0.500 0.000 0.000
0.500 0.500 0.000
0.000 0.254 0.500
0.000 0.746 0.500
```

Values from the calculation:
Total DFT energy (no corrections), eV per atom: -3.4017
DFT formation energy, eV/atom: -0.4521

---

CePr6Dy8: relaxed, PBE-GGA.

The structure in POSCAR format:
```
CePr6Dy8
1.0
4.570 2.639 6.991
-4.570 2.639 6.991
0.000 -5.277 6.991
Ce Pr Dy
1 6 8
direct
0.000 0.000 0.000
0.100 0.229 0.540
0.229 0.540 0.100
0.460 0.900 0.771
0.540 0.100 0.229
0.771 0.460 0.900
0.900 0.771 0.460
0.113 0.756 0.712
0.244 0.288 0.887
0.288 0.887 0.244
0.423 0.423 0.423
0.577 0.577 0.577
0.712 0.113 0.756
0.756 0.712 0.113
0.887 0.244 0.288
```

Values from the calculation:
Total DFT energy (no corrections), eV per atom: -4.6378
DFT formation energy, eV/atom: 0.1240

---

ZnMoAu: relaxed, PBE-GGA.

The structure in POSCAR format:
```
ZnMoAu
1.0
3.876 0.000 0.000
0.000 3.888 0.000
0.000 0.000 12.669
Zn Mo Au
4 4 4
direct
0.000 0.000 0.000
0.000 0.500 0.500
0.500 0.000 0.500
0.500 0.500 0.000
0.000 0.000 0.660
0.000 0.500 0.160
0.500 0.000 0.160
0.500 0.500 0.660
0.000 0.000 0.333
0.000 0.500 0.833
0.500 0.000 0.833
0.500 0.500 0.333
```

Values from the calculation:
Total DFT energy (no corrections), eV per atom: -5.0328
Relative energy among the computed polymorphs, meV per atom: 0
DFT formation energy, eV/atom: 0.0946

---

Sr2GaGeSe5: relaxed, PBE-GGA.

The structure in POSCAR format:
```
Sr2GaGeSe5
1.0
2.017 -9.497 0.000
2.017 9.497 0.000
0.000 0.000 12.486
Sr Ga Ge Se
4 2 2 10
direct
0.111 0.889 0.500
0.122 0.878 0.123
0.878 0.122 0.623
0.889 0.111 0.000
0.434 0.566 0.268
0.566 0.434 0.768
0.225 0.775 0.846
0.775 0.225 0.346
0.046 0.954 0.879
0.278 0.722 0.491
0.311 0.689 0.197
0.354 0.646 0.815
0.497 0.503 0.102
0.503 0.497 0.602
0.646 0.354 0.315
0.689 0.311 0.697
0.722 0.278 0.991
0.954 0.046 0.379
```

Values from the calculation:
Total DFT energy (no corrections), eV per atom: -4.2726

---

PrY2O: relaxed, PBE-GGA.

The structure in POSCAR format:
```
PrY2O
1.0
3.506 0.000 0.000
-1.753 3.036 0.000
0.000 0.000 28.502
Pr Y O
3 6 3
direct
0.000 0.000 0.000
0.333 0.667 0.667
0.667 0.333 0.333
0.000 0.000 0.120
0.000 0.000 0.880
0.333 0.667 0.546
0.333 0.667 0.787
0.667 0.333 0.213
0.667 0.333 0.454
0.000 0.000 0.500
0.333 0.667 0.167
0.667 0.333 0.833
```

Values from the calculation:
Total DFT energy (no corrections), eV per atom: -6.8900
Relative energy among the computed polymorphs, meV per atom: 0

---

BaLiTc2: relaxed, PBE-GGA.

The structure in POSCAR format:
```
BaLiTc2
1.0
3.206 0.000 0.000
0.000 3.203 0.000
-0.044 0.000 8.391
Ba Li Tc
1 1 2
direct
0.000 0.000 0.000
0.494 0.500 0.351
0.497 0.500 0.691
0.995 0.000 0.551
```

Values from the calculation:
Total DFT energy (no corrections), eV per atom: -5.7002
Relative energy among the computed polymorphs, meV per atom: 69
DFT formation energy, eV/atom: 0.4419

---

PuNpIrAu: relaxed, PBE-GGA.

The structure in POSCAR format:
```
PuNpIrAu
1.0
7.032 0.000 0.000
0.000 7.032 0.000
0.000 0.000 7.032
Pu Np Ir Au
4 4 4 4
direct
0.000 0.000 0.000
0.000 0.500 0.500
0.500 0.000 0.500
0.500 0.500 0.000
0.000 0.000 0.500
0.000 0.500 0.000
0.500 0.000 0.000
0.500 0.500 0.500
0.250 0.250 0.250
0.250 0.750 0.750
0.750 0.250 0.750
0.750 0.750 0.250
0.250 0.250 0.750
0.250 0.750 0.250
0.750 0.250 0.250
0.750 0.750 0.750
```

Values from the calculation:
Total DFT energy (no corrections), eV per atom: -10.0752
DFT formation energy, eV/atom: -0.2225

---

TbMgTe2: relaxed, PBE-GGA.

The structure in POSCAR format:
```
TbMgTe2
1.0
4.203 0.000 0.000
-2.101 3.640 0.000
0.000 0.000 22.279
Tb Mg Te
3 3 6
direct
0.000 0.000 0.000
0.333 0.667 0.667
0.667 0.333 0.333
0.000 0.000 0.165
0.333 0.667 0.832
0.667 0.333 0.499
0.000 0.000 0.575
0.000 0.000 0.754
0.333 0.667 0.242
0.333 0.667 0.421
0.667 0.333 0.088
0.667 0.333 0.909
```

Values from the calculation:
Total DFT energy (no corrections), eV per atom: -4.1718
Relative energy among the computed polymorphs, meV per atom: 0

---

Pm7Sm2Y: relaxed, PBE-GGA.

The structure in POSCAR format:
```
Pm7Sm2Y
1.0
6.015 -8.424 0.000
6.015 8.424 0.000
0.000 0.000 3.549
Pm Sm Y
7 2 1
direct
0.000 0.000 0.000
0.118 0.372 0.000
0.176 0.824 0.500
0.372 0.118 0.000
0.628 0.882 0.000
0.824 0.176 0.500
0.882 0.628 0.000
0.330 0.670 0.000
0.670 0.330 0.000
0.500 0.500 0.500
```

Values from the calculation:
Total DFT energy (no corrections), eV per atom: -4.5351
Relative energy among the computed polymorphs, meV per atom: 0
DFT formation energy, eV/atom: 0.3806

---

LiCaAcPt: relaxed, PBE-GGA.

The structure in POSCAR format:
```
LiCaAcPt
1.0
7.435 0.000 0.000
0.000 7.435 0.000
0.000 0.000 7.435
Li Ca Ac Pt
4 4 4 4
direct
0.000 0.000 0.000
0.000 0.500 0.500
0.500 0.000 0.500
0.500 0.500 0.000
0.250 0.250 0.750
0.250 0.750 0.250
0.750 0.250 0.250
0.750 0.750 0.750
0.250 0.250 0.250
0.250 0.750 0.750
0.750 0.250 0.750
0.750 0.750 0.250
0.000 0.000 0.500
0.000 0.500 0.000
0.500 0.000 0.000
0.500 0.500 0.500
```

Values from the calculation:
Total DFT energy (no corrections), eV per atom: -4.0266
Relative energy among the computed polymorphs, meV per atom: 36
DFT formation energy, eV/atom: -0.5104

---

CaAlRh: relaxed, PBE-GGA.

The structure in POSCAR format:
```
CaAlRh
1.0
6.561 0.000 0.000
0.000 6.561 0.000
0.000 0.000 6.561
Ca Al Rh
4 4 4
direct
0.000 0.000 0.000
0.000 0.500 0.500
0.500 0.000 0.500
0.500 0.500 0.000
0.250 0.250 0.750
0.250 0.750 0.250
0.750 0.250 0.250
0.750 0.750 0.750
0.250 0.250 0.250
0.250 0.750 0.750
0.750 0.250 0.750
0.750 0.750 0.250
```

Values from the calculation:
Total DFT energy (no corrections), eV per atom: -3.8761
DFT formation energy, eV/atom: 0.4891

---

For reference, N(E_F) by record: 1.5766; 0.5963; 1.7235; 0.5258; 0.3612; 1.1212; 0.9239; 3.3149; 0.3943; 1.4621; 0.8348; 0.7198 states/eV per atom.
For reference, size of the total moment by record: 0.000; 0.000; 0.083; 0.000; 0.000; 0.000; 0.000; 2.399; 0.173; 0.000; 0.000; 0.000 μB per atom.